Record 1
This record from the Alexandria database describes an optimized crystal structure of Al5Ru6W. The functional is PBE-GGA.

Calculated values
Volume, Å³ per cell: 165.9
M_tot, Bohr magnetons per cell: 0.00
Uncorrected energy, eV/atom: -7.91
DFT formation energy, eV/f.u.: -7.6

Cell: 4.2791 6.0682 6.7454 Å, 90.00 71.34 90.00°
Fractional coordinates of all 12 atoms:
Ru1 0.8335 0.7487 0.3337
Ru2 0.8335 0.2513 0.3337
Ru3 0.5000 0.2522 0.0000
Ru4 0.5000 0.7478 0.0000
Ru5 0.1665 0.7487 0.6663
Ru6 0.1665 0.2513 0.6663
Al1 0.6656 0.5000 0.6686
Al2 0.3325 0.0000 0.3352
Al3 0.0000 0.5000 0.0000
Al4 0.6675 0.0000 0.6648
Al5 0.3344 0.5000 0.3314
W1 0.0000 0.0000 0.0000



Record 2
This record from the Alexandria database describes an optimized crystal structure of Al2RuW. The functional is PBE-GGA.

Calculated values
Volume, Å³ per cell: 59.5
M_tot, Bohr magnetons per cell: 0.00
Uncorrected energy, eV/atom: -7.52
DFT formation energy, eV/f.u.: -0.4

Cell: 4.7306 4.7306 2.8430 Å, 90.00 90.00 110.74°
Fractional coordinates of all 4 atoms:
Ru1 0.5000 0.0000 0.5000
Al1 0.0000 0.0000 0.0000
Al2 0.5000 0.5000 0.0000
W1 0.0000 0.5000 0.5000



Record 3
This record from the Alexandria database describes an optimized crystal structure of Al2Ru4W. The functional is PBE-GGA.

Calculated values
Volume, Å³ per cell: 134.9
M_tot, Bohr magnetons per cell: 1.86
Uncorrected energy, eV/atom: -7.17
DFT formation energy, eV/f.u.: 7.4

Cell: 4.6511 4.6511 7.0502 Å, 70.74 70.74 90.00°
Each line ends with the local moment (μB).
Fractional coordinates of all 7 atoms:
Ru1 0.8087 0.8087 0.3826  0.94
Ru2 0.1913 0.1913 0.6174  0.94
Ru3 0.0000 0.5000 0.0000  0.10
Ru4 0.5000 0.0000 0.0000  0.10
Al1 0.6125 0.6125 0.7750  -0.01
Al2 0.3875 0.3875 0.2250  -0.01
W1 0.0000 0.0000 0.0000  -0.18



Record 4
This record from the Alexandria database describes an optimized crystal structure of Al2RuW. The functional is PBE-GGA.

Calculated values
Volume, Å³ per cell: 59.9
M_tot, Bohr magnetons per cell: 0.00
Uncorrected energy, eV/atom: -7.55
DFT formation energy, eV/f.u.: -0.5

Cell: 5.1680 5.1680 5.1680 Å, 147.43 125.40 65.03°
Fractional coordinates of all 4 atoms:
Ru1 0.7500 0.2500 0.5000
Al1 0.9877 0.9877 0.0000
Al2 0.5123 0.5123 0.0000
W1 0.2500 0.7500 0.5000



Record 5
This record from the Alexandria database describes an optimized crystal structure of Al2Ru2W. The functional is PBE-GGA.

Calculated values
Volume, Å³ per cell: 143.8
M_tot, Bohr magnetons per cell: 0.00
Uncorrected energy, eV/atom: -7.99
DFT formation energy, eV/f.u.: -0.9

Cell: 7.0436 7.0436 2.8986 Å, 90.00 90.00 90.00°
Fractional coordinates of all 10 atoms:
Ru1 0.1663 0.6663 0.5000
Ru2 0.6663 0.8337 0.5000
Ru3 0.8337 0.3337 0.5000
Ru4 0.3337 0.1663 0.5000
Al1 0.3687 0.8687 0.0000
Al2 0.8687 0.6313 0.0000
Al3 0.6313 0.1313 0.0000
Al4 0.1313 0.3687 0.0000
W1 0.0000 0.0000 0.0000
W2 0.5000 0.5000 0.0000



Record 6
This record from the Alexandria database describes an optimized crystal structure of Al2RuW. The functional is PBE-GGA.

Calculated values
Volume, Å³ per cell: 61.5
M_tot, Bohr magnetons per cell: 0.01
Uncorrected energy, eV/atom: -7.56
DFT formation energy, eV/f.u.: -0.5

Cell: 8.8851 8.8851 8.8851 Å, 18.47 18.47 18.47°
Fractional coordinates of all 4 atoms:
Ru1 0.5000 0.5000 0.5000
Al1 0.0009 0.0009 0.0009
Al2 0.2457 0.2457 0.2457
W1 0.7533 0.7533 0.7533



Record 7
This record from the Alexandria database describes an optimized crystal structure of Al2RuW. The functional is PBE-GGA.

Calculated values
Volume, Å³ per cell: 59.7
M_tot, Bohr magnetons per cell: 0.00
Uncorrected energy, eV/atom: -7.52
DFT formation energy, eV/f.u.: -0.4

Cell: 2.9382 4.7067 4.3183 Å, 90.00 90.00 90.00°
Fractional coordinates of all 4 atoms:
Ru1 0.5000 0.0000 0.5000
Al1 0.0000 0.0000 0.0000
Al2 0.5000 0.5000 0.0000
W1 0.0000 0.5000 0.5000



Record 8
This record from the Alexandria database describes an optimized crystal structure of Al2RuW. The functional is PBE-GGA.

Calculated values
Volume, Å³ per cell: 127.5
M_tot, Bohr magnetons per cell: 0.00
Uncorrected energy, eV/atom: -7.05
DFT formation energy, eV/f.u.: 1.5

Cell: 6.8813 6.8813 5.5609 Å, 51.78 51.78 90.00°
Fractional coordinates of all 8 atoms:
Ru1 0.5000 0.5000 0.0000
Ru2 0.2500 0.7500 0.5000
Al1 0.6033 0.1250 0.2500
Al2 0.1467 0.6250 0.2500
Al3 0.3750 0.3967 0.7500
Al4 0.8750 0.8533 0.7500
W1 0.0000 0.0000 0.0000
W2 0.7500 0.2500 0.5000



Record 9
This record from the Alexandria database describes an optimized crystal structure of Al2RuW. The functional is PBE-GGA.

Calculated values
Volume, Å³ per cell: 59.4
M_tot, Bohr magnetons per cell: 0.00
Uncorrected energy, eV/atom: -7.57
DFT formation energy, eV/f.u.: -0.6

Cell: 2.7726 2.7726 8.3354 Å, 90.00 90.00 111.95°
Fractional coordinates of all 4 atoms:
Ru1 0.5000 0.5000 0.2500
Al1 0.0000 0.0000 0.0130
Al2 0.0000 0.0000 0.4870
W1 0.5000 0.5000 0.7500



Record 10
This record from the Alexandria database describes an optimized crystal structure of AlRuW. The functional is PBE-GGA.

Calculated values
Volume, Å³ per cell: 175.2
M_tot, Bohr magnetons per cell: 0.00
Uncorrected energy, eV/atom: -9.06
DFT formation energy, eV/f.u.: -1.2

Cell: 3.0859 13.2794 4.2759 Å, 90.00 90.00 90.00°
Fractional coordinates of all 12 atoms:
Ru1 0.0000 0.4164 0.2500
Ru2 0.0000 0.5836 0.7500
Ru3 0.5000 0.9164 0.2500
Ru4 0.5000 0.0836 0.7500
Al1 0.0000 0.0785 0.2500
Al2 0.0000 0.9215 0.7500
Al3 0.5000 0.5785 0.2500
Al4 0.5000 0.4215 0.7500
W1 0.0000 0.7542 0.2500
W2 0.0000 0.2458 0.7500
W3 0.5000 0.2542 0.2500
W4 0.5000 0.7458 0.7500



Record 11
This record from the Alexandria database describes an optimized crystal structure of AlRuW. The functional is PBE-GGA.

Calculated values
Volume, Å³ per cell: 209.7
M_tot, Bohr magnetons per cell: 0.00
Uncorrected energy, eV/atom: -8.60
DFT formation energy, eV/f.u.: 0.2

Cell: 4.1891 5.8700 8.5268 Å, 90.00 90.00 90.00°
Fractional coordinates of all 12 atoms:
W1 0.7500 0.9904 0.1399
W2 0.2500 0.4904 0.3601
W3 0.2500 0.0096 0.8601
W4 0.7500 0.5096 0.6399
Ru1 0.7500 0.7215 0.3795
Ru2 0.2500 0.2215 0.1205
Ru3 0.2500 0.2785 0.6205
Ru4 0.7500 0.7785 0.8795
Al1 0.7500 0.4971 0.1154
Al2 0.2500 0.9971 0.3846
Al3 0.2500 0.5029 0.8846
Al4 0.7500 0.0029 0.6154



Record 12
This record from the Alexandria database describes an optimized crystal structure of AlRuW. The functional is PBE-GGA.

Calculated values
Volume, Å³ per cell: 89.2
M_tot, Bohr magnetons per cell: 0.00
Uncorrected energy, eV/atom: -8.92
DFT formation energy, eV/f.u.: -0.8

Cell: 2.9299 4.9240 6.8996 Å, 109.99 90.02 106.40°
Fractional coordinates of all 6 atoms:
Ru1 0.0174 0.5372 0.2879
Ru2 0.9826 0.4628 0.7121
Al1 0.3380 0.1507 0.3891
Al2 0.6620 0.8493 0.6109
W1 0.3211 0.2132 0.9569
W2 0.6789 0.7868 0.0431



Record 13
This record from the Alexandria database describes an optimized crystal structure of Al2RuW. The functional is PBE-GGA.

Calculated values
Volume, Å³ per cell: 59.2
M_tot, Bohr magnetons per cell: 0.00
Uncorrected energy, eV/atom: -7.64
DFT formation energy, eV/f.u.: -0.8

Cell: 4.9330 4.9330 4.4912 Å, 73.41 73.41 34.59°
Fractional coordinates of all 4 atoms:
Ru1 0.5021 0.5021 0.5241
Al1 0.9943 0.9943 0.0205
Al2 0.7633 0.7633 0.7213
W1 0.2403 0.2403 0.2341



Record 14
This record from the Alexandria database describes an optimized crystal structure of AlRuW. The functional is PBE-GGA.

Calculated values
Volume, Å³ per cell: 176.2
M_tot, Bohr magnetons per cell: 0.00
Uncorrected energy, eV/atom: -8.89
DFT formation energy, eV/f.u.: -0.7

Cell: 3.0870 4.4688 12.7746 Å, 90.00 90.00 90.00°
Fractional coordinates of all 12 atoms:
Ru1 0.0000 0.0000 0.8534
Ru2 0.0000 0.5000 0.3534
Ru3 0.0000 0.0000 0.5234
Ru4 0.0000 0.5000 0.0234
Al1 0.5000 0.0000 0.6895
Al2 0.5000 0.5000 0.1895
Al3 0.5000 0.0000 0.0133
Al4 0.5000 0.5000 0.5133
W1 0.0000 0.0000 0.1855
W2 0.0000 0.5000 0.6855
W3 0.5000 0.0000 0.3521
W4 0.5000 0.5000 0.8521



Record 15
This record from the Alexandria database describes an optimized crystal structure of Al2RuW. The functional is PBE-GGA.

Calculated values
Volume, Å³ per cell: 60.1
M_tot, Bohr magnetons per cell: 0.00
Uncorrected energy, eV/atom: -7.56
DFT formation energy, eV/f.u.: -0.5

Cell: 4.2995 2.8503 5.0936 Å, 74.46 90.00 90.00°
Fractional coordinates of all 4 atoms:
Ru1 0.0000 0.3174 0.5040
Al1 0.0000 0.0433 0.0311
Al2 0.5000 0.4303 0.2436
W1 0.5000 0.7090 0.7213



Record 16
This record from the Alexandria database describes an optimized crystal structure of AlRuW. The functional is PBE-GGA.

Calculated values
Volume, Å³ per cell: 134.8
M_tot, Bohr magnetons per cell: 0.00
Uncorrected energy, eV/atom: -8.87
DFT formation energy, eV/f.u.: -0.6

Cell: 2.8461 2.8461 19.2221 Å, 90.00 90.00 120.00°
Fractional coordinates of all 9 atoms:
Ru1 0.0000 0.0000 0.9093
Ru2 0.3333 0.6667 0.5760
Ru3 0.6667 0.3333 0.2426
Al1 0.0000 0.0000 0.4686
Al2 0.3333 0.6667 0.1353
Al3 0.6667 0.3333 0.8020
W1 0.0000 0.0000 0.6850
W2 0.3333 0.6667 0.3516
W3 0.6667 0.3333 0.0183



Record 17
This record from the Alexandria database describes an optimized crystal structure of Al2RuW. The functional is PBE-GGA.

Calculated values
Volume, Å³ per cell: 59.4
M_tot, Bohr magnetons per cell: 0.00
Uncorrected energy, eV/atom: -7.57
DFT formation energy, eV/f.u.: -0.6

Cell: 4.1607 2.8136 5.1437 Å, 80.41 90.00 90.00°
Fractional coordinates of all 4 atoms:
Ru1 0.5000 0.2500 0.2500
Al1 0.0000 0.0572 0.0083
Al2 0.0000 0.4428 0.4917
W1 0.5000 0.7500 0.7500



Record 18
This record from the Alexandria database describes an optimized crystal structure of AlRuW. The functional is PBE-GGA.

Calculated values
Volume, Å³ per cell: 175.5
M_tot, Bohr magnetons per cell: 0.00
Uncorrected energy, eV/atom: -8.92
DFT formation energy, eV/f.u.: -0.8

Cell: 9.7398 4.2565 4.2328 Å, 90.00 90.00 90.00°
Fractional coordinates of all 12 atoms:
Ru1 0.1606 0.0000 0.0000
Ru2 0.8394 0.0000 0.0000
Ru3 0.6606 0.5000 0.0000
Ru4 0.3394 0.5000 0.0000
Al1 0.5000 0.0000 0.0000
Al2 0.0000 0.5000 0.0000
Al3 0.0000 0.0000 0.5000
Al4 0.5000 0.5000 0.5000
W1 0.6735 0.0000 0.5000
W2 0.3265 0.0000 0.5000
W3 0.1735 0.5000 0.5000
W4 0.8265 0.5000 0.5000



Record 19
This record from the Alexandria database describes an optimized crystal structure of Al3RuW. The functional is PBE-GGA.

Calculated values
Volume, Å³ per cell: 94.7
M_tot, Bohr magnetons per cell: 2.96
Uncorrected energy, eV/atom: -5.89
DFT formation energy, eV/f.u.: 4.0

Cell: 4.5575 4.5575 4.5575 Å, 90.00 90.00 90.00°
Each line ends with the local moment (μB).
Fractional coordinates of all 5 atoms:
Ru1 0.0000 0.0000 0.0000  0.27
Al1 0.0000 0.5000 0.0000  -0.03
Al2 0.0000 0.0000 0.5000  -0.04
Al3 0.5000 0.0000 0.0000  -0.01
W1 0.5000 0.5000 0.5000  2.19



Record 20
This record from the Alexandria database describes an optimized crystal structure of Al4RuW. The functional is PBE-GGA.

Calculated values
Volume, Å³ per cell: 87.5
M_tot, Bohr magnetons per cell: 0.00
Uncorrected energy, eV/atom: -6.09
DFT formation energy, eV/f.u.: 0.7

Cell: 4.9836 4.9836 4.9836 Å, 60.00 60.00 60.00°
Fractional coordinates of all 6 atoms:
Al1 0.8747 0.3751 0.3751
Al2 0.3751 0.3751 0.8747
Al3 0.3751 0.8747 0.3751
Al4 0.3751 0.3751 0.3751
Ru1 0.7500 0.7500 0.7500
W1 0.0000 0.0000 0.0000